(1)
This record from the Alexandria database describes a relaxed Li2NiRh crystal. The functional is GGA-PBE.

Calculated values
formation enthalpy at 0 K = -123 meV per atom
DOS at the Fermi energy = 3.03 states/eV per cell
energy above the lowest structure with this stoichiometry = 7 meV/atom
total magnetic moment = 0.00 μB per formula unit
energy = -4.36 eV/atom

Lattice parameters (Å, degrees): 4.2861 2.6787 4.3707 89.97 90.00 90.00
With the nearest neighbours (Å) after each atom.
Sites, in units of the cell vectors:
1 Li 0.0000 0.8745 0.0779  4 Ni 2.54-2.59, 6 Li 2.56-2.68, 2 Rh 2.80
2 Li 0.5000 0.3751 0.1723  4 Rh 2.53-2.59, 6 Li 2.56-2.68, 2 Ni 2.80
3 Ni 0.0000 0.3754 0.5852  6 Li 2.54-2.80, 4 Rh 2.55, 2 Ni 2.68
4 Rh 0.5000 0.8750 0.6647  6 Li 2.53-2.80, 4 Ni 2.55, 2 Rh 2.68

---

(2)
This record from the Alexandria database describes a relaxed Li4NiRh2 crystal. The functional is GGA-PBE.

Calculated values
formation enthalpy at 0 K = -85 meV per atom
DOS at the Fermi energy = 5.38 states/eV per cell
total magnetic moment = 1.18 μB per formula unit
energy = -4.11 eV/atom

Lattice parameters (Å, degrees): 2.6757 2.6757 15.4380 85.03 85.03 60.00
With the nearest neighbours (Å) after each atom.
Sites, in units of the cell vectors:
1 Li 0.2884 0.2884 0.1347  3 Ni 2.58, 3 Rh 2.66, 6 Li 2.68
2 Li 0.8628 0.8628 0.4118  3 Rh 2.60, 6 Li 2.68
3 Li 0.7116 0.7116 0.8653  3 Ni 2.58, 3 Rh 2.66, 6 Li 2.68
4 Li 0.1372 0.1372 0.5882  3 Rh 2.60, 6 Li 2.68
5 Rh 0.5748 0.5748 0.2756  6 Li 2.60-2.66, 6 Rh 2.68
6 Rh 0.4252 0.4252 0.7244  6 Li 2.60-2.66, 6 Rh 2.68
7 Ni 0.0000 0.0000 0.0000  6 Li 2.58, 6 Ni 2.68

---

(3)
This record from the Alexandria database describes a relaxed LiNiRuRh crystal. The functional is GGA-PBE.

Calculated values
formation enthalpy at 0 K = 155 meV per atom
DOS at the Fermi energy = 6.88 states/eV per cell
total magnetic moment = 0.78 μB per formula unit
energy = -5.93 eV/atom

Lattice parameters (Å, degrees): 4.1819 4.1819 4.1819 60.00 60.00 60.00
With the nearest neighbours (Å) after each atom.
Sites, in units of the cell vectors:
1 Ru 0.2500 0.2500 0.2500  4 Ni 2.56, 4 Rh 2.56
2 Rh 0.0000 0.0000 0.0000  4 Ru 2.56, 4 Li 2.56
3 Ni 0.5000 0.5000 0.5000  4 Li 2.56, 4 Ru 2.56
4 Li 0.7500 0.7500 0.7500  4 Rh 2.56, 4 Ni 2.56

---

(4)
This record from the Alexandria database describes a relaxed Li2NiSb2Rh crystal. The functional is GGA-PBE.

Calculated values
E_form (uncorrected) = -0.47 eV per atom
DOS at the Fermi energy = 8.92 states/eV per cell
total magnetic moment = 0.00 μB per formula unit
energy = -4.67 eV/atom

Lattice parameters (Å, degrees): 5.7848 5.8898 7.5443 112.98 112.54 90.00
With the nearest neighbours (Å) after each atom.
Sites, in units of the cell vectors:
1 Sb 0.6111 0.3731 0.7461  2 Ni 2.58, 2 Rh 2.65, 2 Li 2.85-2.87
2 Sb 0.3889 0.6269 0.2539  2 Ni 2.58, 2 Rh 2.65, 2 Li 2.85-2.87
3 Sb 0.8650 0.1269 0.2539  2 Ni 2.58, 2 Rh 2.65, 2 Li 2.85-2.87
4 Sb 0.1350 0.8731 0.7461  2 Ni 2.58, 2 Rh 2.65, 2 Li 2.85-2.87
5 Ni 0.5000 0.2500 0.0000  4 Sb 2.58, 4 Li 2.78
6 Ni 0.5000 0.7500 0.0000  4 Sb 2.58, 4 Li 2.78
7 Li 0.8991 0.6458 0.2916  2 Rh 2.76, 2 Ni 2.78, 5 Sb 2.85-2.96
8 Li 0.1009 0.3542 0.7084  2 Rh 2.76, 2 Ni 2.78, 5 Sb 2.85-2.96
9 Li 0.3925 0.1458 0.2916  2 Rh 2.76, 2 Ni 2.78, 5 Sb 2.85-2.96
10 Li 0.6075 0.8542 0.7084  2 Rh 2.76, 2 Ni 2.78, 5 Sb 2.85-2.96
11 Rh 0.0000 0.7500 0.0000  4 Sb 2.65, 4 Li 2.76, 2 Ni 2.89, 2 Rh 2.94
12 Rh 0.0000 0.2500 0.0000  4 Sb 2.65, 4 Li 2.76, 2 Ni 2.89, 2 Rh 2.94

---

(5)
This record from the Alexandria database describes a relaxed LiNiSbRh crystal. The functional is GGA-PBE.

Calculated values
E_form (uncorrected) = -0.42 eV per atom
DOS at the Fermi energy = 0.98 states/eV per cell
energy above the lowest structure with this stoichiometry = 0 meV/atom
total magnetic moment = 0.00 μB per formula unit
energy = -5.22 eV/atom

Lattice parameters (Å, degrees): 4.0381 4.0381 4.5122 116.58 116.58 89.99
With the nearest neighbours (Å) after each atom.
Sites, in units of the cell vectors:
1 Ni 0.5000 0.5000 0.0000  4 Sb 2.67, 4 Li 2.67, 4 Rh 2.86
2 Sb 0.2500 0.7500 0.5000  4 Ni 2.67, 4 Rh 2.67, 4 Li 2.86
3 Li 0.7500 0.2500 0.5000  4 Rh 2.67, 4 Ni 2.67, 4 Sb 2.86
4 Rh 0.0000 0.0000 0.0000  4 Li 2.67, 4 Sb 2.67, 4 Ni 2.86

---

(6)
This record from the Alexandria database describes a relaxed LiNiSbRh crystal. The functional is GGA-PBE.

Calculated values
E_form (uncorrected) = -0.41 eV per atom
DOS at the Fermi energy = 3.18 states/eV per cell
energy above the lowest structure with this stoichiometry = 11 meV/atom
total magnetic moment = 0.00 μB per formula unit
energy = -5.21 eV/atom

Lattice parameters (Å, degrees): 4.3230 4.3230 4.3230 60.00 60.00 60.00
With the nearest neighbours (Å) after each atom.
Sites, in units of the cell vectors:
1 Ni 0.2500 0.2500 0.2500  4 Li 2.65, 4 Sb 2.65
2 Li 0.0000 0.0000 0.0000  4 Ni 2.65, 4 Rh 2.65
3 Sb 0.5000 0.5000 0.5000  4 Ni 2.65, 4 Rh 2.65
4 Rh 0.7500 0.7500 0.7500  4 Sb 2.65, 4 Li 2.65

---

(7)
This record from the Alexandria database describes a relaxed LiScNiRh crystal. The functional is GGA-PBE.

Calculated values
formation enthalpy at 0 K = -437 meV per atom
DOS at the Fermi energy = 1.57 states/eV per cell
total magnetic moment = 0.00 μB per formula unit
energy = -5.78 eV/atom

Lattice parameters (Å, degrees): 4.3320 4.3320 4.3320 60.00 60.00 60.00
With the nearest neighbours (Å) after each atom.
Sites, in units of the cell vectors:
1 Ni 0.2500 0.2500 0.2500  4 Li 2.65, 4 Sc 2.65
2 Rh 0.7500 0.7500 0.7500  4 Sc 2.65, 4 Li 2.65
3 Li 0.0000 0.0000 0.0000  4 Rh 2.65, 4 Ni 2.65
4 Sc 0.5000 0.5000 0.5000  4 Ni 2.65, 4 Rh 2.65

---

(8)
This record from the Alexandria database describes a relaxed LiSi2NiRh crystal. The functional is GGA-PBE.

Calculated values
E_form (uncorrected) = 0.75 eV per atom
DOS at the Fermi energy = 4.02 states/eV per cell
total magnetic moment = 0.45 μB per formula unit
energy = -4.43 eV/atom

Lattice parameters (Å, degrees): 4.1662 3.9630 4.1662 90.00 90.00 90.00
With the nearest neighbours (Å) after each atom.
Sites, in units of the cell vectors:
1 Li 0.0000 0.0000 0.0000  2 Rh 1.98, 4 Si 2.08
2 Ni 0.5000 0.5000 0.5000  8 Si 2.87, 4 Rh 2.95
3 Si 0.5000 0.0000 0.0000  2 Li 2.08
4 Si 0.0000 0.0000 0.5000  2 Li 2.08
5 Rh 0.0000 0.5000 0.0000  2 Li 1.98